First-principles (PBE-GGA) data for an optimized crystal structure of ZnSb2Te, as listed in Alexandria via LeMat-Bulk.

Cell lengths 3.322, 3.322, 9.615 Å; angles 90.00, 90.00, 104.96 degrees
Sites, in units of the cell vectors:
Te (0.500, 0.500, 0.250)
Sb (0.000, 0.000, 0.546)
Sb (0.000, 0.000, 0.954)
Zn (0.500, 0.500, 0.750)

Total energy, eV/atom: -2.96
E_form (uncorrected), eV/atom: 0.208
Offset from the most stable computed form, meV per atom: 357.5

***

First-principles (PBE-GGA) data for an optimized crystal structure of ZnSb2Te, as listed in Alexandria via LeMat-Bulk.

Cell lengths 6.440, 6.440, 8.181 Å; angles 66.82, 66.82, 90.00 degrees
Sites, in units of the cell vectors:
Te (0.000, 0.000, 0.000)
Te (0.750, 0.250, 0.500)
Sb (0.375, 0.427, 0.750)
Sb (0.573, 0.125, 0.250)
Sb (0.177, 0.625, 0.250)
Sb (0.875, 0.823, 0.750)
Zn (0.500, 0.500, 0.000)
Zn (0.250, 0.750, 0.500)

Total energy, eV/atom: -2.96
E_form (uncorrected), eV/atom: 0.204
Offset from the most stable computed form, meV per atom: 353.1

***

First-principles (PBE-GGA) data for an optimized crystal structure of ZnSb2Te, as listed in Alexandria via LeMat-Bulk.

Cell lengths 3.446, 3.446, 9.501 Å; angles 90.00, 90.00, 110.50 degrees
Sites, in units of the cell vectors:
Zn (0.500, 0.500, 0.752)
Sb (0.500, 0.500, 0.222)
Sb (0.000, 0.000, 0.975)
Te (0.000, 0.000, 0.551)

Total energy, eV/atom: -2.97
E_form (uncorrected), eV/atom: 0.197
Offset from the most stable computed form, meV per atom: 346.0

***

First-principles (PBE-GGA) data for an optimized crystal structure of ZnSb2Te, as listed in Alexandria via LeMat-Bulk.

Cell lengths 6.159, 5.999, 3.361 Å; angles 78.69, 80.58, 117.87 degrees
Sites, in units of the cell vectors:
Sb (0.500, 0.000, 0.500)
Sb (0.000, 0.000, 0.000)
Te (0.000, 0.500, 0.500)
Zn (0.500, 0.500, 0.000)

Total energy, eV/atom: -2.91
E_form (uncorrected), eV/atom: 0.259
Offset from the most stable computed form, meV per atom: 408.4

***

First-principles (PBE-GGA) data for an optimized crystal structure of ZnSb2Te, as listed in Alexandria via LeMat-Bulk.

Cell lengths 5.261, 5.261, 3.691 Å; angles 90.00, 90.00, 90.00 degrees
Sites, in units of the cell vectors:
Sb (0.000, 0.000, 0.000)
Sb (0.500, 0.500, 0.000)
Te (0.500, 0.000, 0.500)
Zn (0.000, 0.500, 0.500)

Total energy, eV/atom: -2.92
E_form (uncorrected), eV/atom: 0.248
Offset from the most stable computed form, meV per atom: 397.8

***

First-principles (PBE-GGA) data for an optimized crystal structure of ZnSb2Te, as listed in Alexandria via LeMat-Bulk.

Cell lengths 6.539, 6.539, 6.539 Å; angles 145.88, 138.01, 55.17 degrees
Sites, in units of the cell vectors:
Zn (0.750, 0.250, 0.500)
Sb (0.558, 0.558, 0.000)
Sb (0.942, 0.942, 0.000)
Te (0.250, 0.750, 0.500)

Total energy, eV/atom: -3.02
E_form (uncorrected), eV/atom: 0.143
Offset from the most stable computed form, meV per atom: 292.3